A plane-wave DFT calculation with GGA-PBEsol was carried out for a relaxed structure of Tm5Te4Se.

Summary:
**E_form (uncorrected)**: -1.3415 eV/atom
**Total energy**: -5.586 eV/atom
**ρ**: 9.19 g/cm³

a = 13.991 Å, b = 4.154 Å, c = 10.264 Å
α = 90.00°, β = 119.73°, γ = 90.00°
Space group C2/m (No. 12)
Inequivalent atoms, fractional coordinates:
1 Tm 0.000 0.000 0.000 x2
2 Tm 0.081 0.500 0.407 x4
3 Tm 0.186 0.000 0.774 x4
4 Te 0.109 0.500 0.910 x4
5 Te 0.196 0.000 0.310 x4
6 Se 0.000 0.000 0.500 x2

A plane-wave DFT calculation with GGA-PBEsol was carried out for a relaxed structure of LiHg2Rh.

Summary:
**Energy of formation from the pure elements**: -0.14 eV per atom
**Total energy**: -2.954 eV/atom
**ρ**: 12.80 g/cm³

a = 3.966 Å, b = 3.966 Å, c = 8.431 Å
α = 90.00°, β = 90.00°, γ = 90.00°
Space group I-4m2 (No. 119)
Inequivalent atoms, fractional coordinates:
1 Li 0.000 0.000 0.000 x2
2 Hg 0.000 0.000 0.500 x2
3 Hg 0.000 0.500 0.750 x2
4 Rh 0.000 0.500 0.250 x2

A plane-wave DFT calculation with GGA-PBEsol was carried out for a relaxed structure of Tl2SnO2.

Summary:
**E_form (uncorrected)**: -0.1428 eV/atom
**Total energy**: -4.146 eV/atom
**ρ**: 8.83 g/cm³

a = 4.937 Å, b = 4.937 Å, c = 8.632 Å
α = 90.00°, β = 90.00°, γ = 90.00°
Space group I4/mmm (No. 139)
Inequivalent atoms, fractional coordinates:
1 Tl 0.000 0.500 0.250 x4
2 Sn 0.000 0.000 0.000 x2
3 O 0.000 0.000 0.277 x4